First-principles (PBE) data for an optimized crystal structure of ThZrB2O8, as listed in Alexandria.

Structure (POSCAR):
```
ThZrB2O8
1.0
-2.327 2.327 5.584
2.327 -2.327 5.584
2.327 2.327 -5.584
Th Zr B O
1 1 2 8
Direct
0.000 0.000 0.000
0.250 0.750 0.500
0.500 0.500 0.000
0.750 0.250 0.500
0.322 0.670 0.142
0.330 0.472 0.652
0.440 0.052 0.121
0.528 0.180 0.858
0.681 0.560 0.612
0.820 0.678 0.348
0.931 0.319 0.879
0.948 0.069 0.388
```

Size of the total moment, μB per formula unit: 2.04
DOS(E_F), states/eV/atom: 0.3637
Formation energy without anion corrections, eV per atom: -2.535
Crystal system: tetragonal